Entry 1:
Here is ThTiNbSi2 after structural relaxation from Alexandria. Energies are from PBE.

The space group is I-4m2 (No. 119) and the conventional cell measures 4.065, 4.065 and 11.724 Å, with angles of 90.00, 90.00 and 90.00 degrees. The asymmetric unit holds Th at (0.000, 0.000, 0.000), Ti at (0.000, 0.500, 0.750), Nb at (0.000, 0.500, 0.250) and Si at (0.000, 0.000, 0.395).

For the energy, the calculation gives -7.9692 eV per atom. As for the density: 7.354 g cm⁻³. For the density of states at the Fermi level, the calculation gives 0.51 states/eV per atom. The value obtained for the uncorrected formation energy is -16.676 kcal/mol of atoms.

---

Entry 2:
Here is Dy2HoInS6 after structural relaxation from Alexandria. Energies are from PBE.

The space group is R3 (No. 146, hexagonal axes) and the conventional cell measures 6.8491, 6.8491 and 18.3195 Å, with angles of 90.00, 90.00 and 120.00 degrees. The asymmetric unit holds Dy at (0.0000, 0.0000, 0.0000), Dy at (0.0000, 0.0000, 0.4978), Ho at (0.0000, 0.0000, 0.7011), In at (0.0000, 0.0000, 0.2025), S at (0.0348, 0.3575, 0.2663) and S at (0.0381, 0.6730, 0.7681).

For the energy, the calculation gives -5.7806 eV per atom. As for the density: 5.335 g cm⁻³. For the density of states at the Fermi level, the calculation gives 0.00 states/eV per atom. The value obtained for the uncorrected formation energy is -38.099 kcal/mol of atoms.

---

Entry 3:
Here is NbInBi after structural relaxation from Alexandria. Energies are from PBE.

The space group is Cmce (No. 64) and the conventional cell measures 6.055, 14.450 and 6.951 Å, with angles of 90.00, 90.00 and 90.00 degrees. The asymmetric unit holds Nb at (0.000, 0.095, 0.110), In at (0.000, 0.219, 0.430) and Bi at (0.250, 0.064, 0.750).

For the energy, the calculation gives -5.2816 eV per atom. As for the density: 9.103 g cm⁻³. For the density of states at the Fermi level, the calculation gives 0.57 states/eV per atom. The calculation puts the calculated formation energy at 0.281 eV per atom.

---

Entry 4:
Here is Li2ScW after structural relaxation from Alexandria. Energies are from PBE.

The space group is Cmm2 (No. 35) and the conventional cell measures 3.492, 4.350 and 9.794 Å, with angles of 90.00, 90.00 and 90.00 degrees. The asymmetric unit holds Li at (0.000, 0.000, 0.000), Li at (0.000, 0.500, 0.260), Sc at (0.000, 0.000, 0.540) and W at (0.000, 0.500, 0.767).

For the energy, the calculation gives -5.5035 eV per atom. As for the density: 5.418 g cm⁻³. For the density of states at the Fermi level, the calculation gives 0.73 states/eV per atom. Its polymorph energy (0 for the lowest one) is 0 meV per atom. The calculation puts the calculated formation energy at 0.275 eV per atom.

---

Entry 5:
Here is TbEu2Th after structural relaxation from Alexandria. Energies are from PBE.

The space group is R-3m (No. 166, hexagonal axes) and the conventional cell measures 3.5444, 3.5444 and 39.1444 Å, with angles of 90.00, 90.00 and 120.00 degrees. The asymmetric unit holds Tb at (0.0000, 0.0000, 0.0000), Eu at (0.0000, 0.0000, 0.4117) and Th at (0.0000, 0.0000, 0.5000).

For the energy, the calculation gives -7.8866 eV per atom. As for the density: 8.128 g cm⁻³. For the density of states at the Fermi level, the calculation gives 1.50 states/eV per atom. The calculation puts the calculated formation energy at 0.263 eV per atom.

---

Entry 6:
Here is LiHoEr2Se4 after structural relaxation from Alexandria. Energies are from PBE.

The space group is P2/m (No. 10) and the conventional cell measures 6.968, 4.009 and 6.972 Å, with angles of 90.00, 109.25 and 90.00 degrees. The asymmetric unit holds Li at (0.000, 0.000, 0.000), Ho at (0.000, 0.500, 0.500), Er at (0.500, 0.000, 0.500), Er at (0.500, 0.500, 0.000), Se at (0.245, 0.500, 0.244) and Se at (0.246, 0.000, 0.756).

For the energy, the calculation gives -5.4149 eV per atom. As for the density: 7.425 g cm⁻³. For the density of states at the Fermi level, the calculation gives 0.32 states/eV per atom. The value obtained for the uncorrected formation energy is -39.675 kcal/mol of atoms.

---

Entry 7:
Here is LiPrHoBi after structural relaxation from Alexandria. Energies are from PBE.

The space group is F-43m (No. 216) and the conventional cell measures 7.628, 7.628 and 7.628 Å, with angles of 90.00, 90.00 and 90.00 degrees. The asymmetric unit holds Li at (0.000, 0.000, 0.000), Pr at (0.250, 0.250, 0.250), Ho at (0.250, 0.250, 0.750) and Bi at (0.000, 0.000, 0.500).

For the energy, the calculation gives -4.1139 eV per atom. As for the density: 7.809 g cm⁻³. For the density of states at the Fermi level, the calculation gives 1.13 states/eV per atom. The calculation puts the calculated formation energy at -0.326 eV per atom.

---

Entry 8:
Here is Na3Ge2Pd4 after structural relaxation from Alexandria. Energies are from PBE.

The space group is C2/m (No. 12) and the conventional cell measures 11.017, 4.079 and 8.731 Å, with angles of 90.00, 104.16 and 90.00 degrees. The asymmetric unit holds Na at (0.000, 0.000, 0.000), Na at (0.125, 0.500, 0.382), Ge at (0.181, 0.500, 0.778), Pd at (0.092, 0.000, 0.636) and Pd at (0.220, 0.500, 0.085).

For the energy, the calculation gives -4.1000 eV per atom. As for the density: 5.587 g cm⁻³. For the density of states at the Fermi level, the calculation gives 0.27 states/eV per atom. The calculation puts the calculated formation energy at -0.326 eV per atom.